## CaZn2RhBr (PBE-GGA)

Data for a geometry-optimized CaZn2RhBr structure.

The structure belongs to space group P4/mmm (No. 123); the cell edges are 4.798, 4.798 and 5.561 Å and the angles 90.00°, 90.00° and 90.00°. The asymmetric unit holds Ca at (0.000, 0.000, 0.000), Zn at (0.000, 0.500, 0.500), Rh at (0.000, 0.000, 0.500) and Br at (0.500, 0.500, 0.000).

For the magnetic moment, the calculation gives 0.0000 μB per atom.

***

## CaRuBr2 (PBE-GGA)

Data for a geometry-optimized CaRuBr2 structure.

The structure belongs to space group Cmmm (No. 65); the cell edges are 4.450, 6.095 and 6.924 Å and the angles 90.00°, 90.00° and 90.00°. The asymmetric unit holds Ca at (0.000, 0.000, 0.000), Ru at (0.000, 0.000, 0.500) and Br at (0.000, 0.500, 0.260).

For the magnetic moment, the calculation gives 0.5072 μB per atom.

***

## Ca3RuBr (PBE-GGA)

Data for a geometry-optimized Ca3RuBr structure.

The structure belongs to space group Pm-3m (No. 221); the cell edges are 5.371, 5.371 and 5.371 Å and the angles 90.00°, 90.00° and 90.00°. The asymmetric unit holds Ca at (0.000, 0.000, 0.500), Ru at (0.500, 0.500, 0.500) and Br at (0.000, 0.000, 0.000).

For the magnetic moment, the calculation gives 0.0000 μB per atom.

***

Raw total energy across the listed records, respectively: -3.159, -3.762, -3.094 eV per atom.